Entry 1:
This record from Alexandria via LeMat-Bulk describes a relaxed structure of CoNi15Ge4. The functional is PBE-GGA.

abc: 3.5690 3.5690 17.8155
angles: 90.00 90.00 90.00
Each line ends with the local moment (μB).
Fractional positions:
Ni1 0.5000 0.0000 0.9032  0.49
Ni2 0.5000 0.0000 0.5000  0.01
Ni3 0.0000 0.5000 0.5000  0.01
Ni4 0.5000 0.5000 0.1987  0.17
Ni5 0.0000 0.5000 0.2989  0.03
Ni6 0.0000 0.5000 0.9032  0.49
Ni7 0.0000 0.5000 0.0968  0.49
Ni8 0.5000 0.0000 0.7011  0.03
Ni9 0.0000 0.5000 0.7011  0.03
Ni10 0.5000 0.5000 0.8013  0.17
Ni11 0.5000 0.5000 0.6004  0.03
Ni12 0.5000 0.0000 0.0968  0.49
Ni13 0.5000 0.5000 0.3996  0.03
Ni14 0.5000 0.0000 0.2989  0.03
Ni15 0.5000 0.5000 0.0000  0.64
Ge1 0.0000 0.0000 0.8017  -0.01
Ge2 0.0000 0.0000 0.1983  -0.01
Ge3 0.0000 0.0000 0.3996  0.00
Ge4 0.0000 0.0000 0.6004  0.00
Co1 0.0000 0.0000 0.0000  1.91

## Properties
Formation energy from the elements ... -4.29 eV/f.u.
M_tot ... 4.801 μB per formula unit


Entry 2:
This record from Alexandria via LeMat-Bulk describes a relaxed structure of CoNi3Ge. The functional is PBE-GGA.

abc: 5.7258 5.7258 5.7258
angles: 101.97 99.07 129.42
Each line ends with the local moment (μB).
Fractional positions:
Ni1 0.0565 0.2816 0.2749  0.27
Ni2 0.5320 0.7148 0.6829  0.21
Ni3 0.0067 0.7816 0.7251  0.27
Ni4 0.0319 0.2148 0.6828  0.21
Ni5 0.0319 0.8491 0.3170  0.21
Ni6 0.5320 0.3491 0.3172  0.21
Co1 0.0312 0.5313 0.0000  1.23
Co2 0.5313 0.0313 0.0000  1.24
Ge1 0.5585 0.7815 0.2769  -0.04
Ge2 0.5046 0.2815 0.7231  -0.04

## Properties
E above lowest polymorph ... 0.000 eV per atom
Formation energy from the elements ... 1.09 eV/f.u.
M_tot ... 1.829 μB per formula unit


Entry 3:
This record from Alexandria via LeMat-Bulk describes a relaxed structure of Co2NiGe2. The functional is PBE-GGA.

abc: 6.7314 6.7314 2.7287
angles: 90.00 90.00 90.00
Fractional positions:
Ni1 0.5000 0.5000 0.0000
Ni2 0.0000 0.0000 0.0000
Co1 0.6403 0.8597 0.5000
Co2 0.3597 0.1403 0.5000
Co3 0.8597 0.3597 0.5000
Co4 0.1403 0.6403 0.5000
Ge1 0.3421 0.8421 0.0000
Ge2 0.6579 0.1579 0.0000
Ge3 0.8421 0.6579 0.0000
Ge4 0.1579 0.3421 0.0000

## Properties
Formation energy from the elements ... -0.57 eV/f.u.
M_tot ... 0.000 μB per formula unit


Entry 4:
This record from Alexandria via LeMat-Bulk describes a relaxed structure of Co3NiGe. The functional is PBE-GGA.

abc: 4.2648 4.2648 4.2648
angles: 90.00 90.00 90.00
Each line ends with the local moment (μB).
Fractional positions:
Co1 0.5000 0.0000 0.0000  1.27
Co2 0.0000 0.5000 0.0000  1.77
Co3 0.0000 0.0000 0.5000  2.31
Ni1 0.0000 0.0000 0.0000  0.93
Ge1 0.5000 0.5000 0.5000  -0.02

## Properties
E above lowest polymorph ... 0.000 eV per atom
Formation energy from the elements ... 5.12 eV/f.u.
M_tot ... 6.154 μB per formula unit


Entry 5:
This record from Alexandria via LeMat-Bulk describes a relaxed structure of Co4NiGe2. The functional is PBE-GGA.

abc: 2.6265 3.8102 8.8221
angles: 102.47 98.56 90.00
Each line ends with the local moment (μB).
Fractional positions:
Ge1 0.5913 0.5913 0.1826  -0.03
Ge2 0.4087 0.4087 0.8174  -0.03
Co1 0.1442 0.1442 0.2884  0.92
Co2 0.7672 0.2672 0.5343  1.49
Co3 0.8558 0.8558 0.7116  0.92
Co4 0.2328 0.7328 0.4657  1.49
Ni1 0.0000 0.0000 0.0000  0.09

## Properties
Formation energy from the elements ... 0.43 eV/f.u.
M_tot ... 4.762 μB per formula unit


Entry 6:
This record from Alexandria via LeMat-Bulk describes a relaxed structure of NpCoNiGe2. The functional is PBE-GGA.

abc: 3.9914 3.9914 5.8031
angles: 110.11 110.11 90.00
Each line ends with the local moment (μB).
Fractional positions:
Ge1 0.3739 0.3739 0.7479  -0.01
Ge2 0.6261 0.6261 0.2521  -0.01
Co1 0.2500 0.7500 0.5000  0.79
Ni1 0.7500 0.2500 0.5000  0.28
Np1 0.0000 0.0000 0.0000  3.71

## Properties
Formation energy from the elements ... -1.56 eV/f.u.
M_tot ... 5.004 μB per formula unit


Question: Look up the M_tot of the first one.
Answer: 4.801 μB per formula unit